Entry 1:
## NpZnH6Rh (PBE)

Data for a geometry-optimized NpZnH6Rh structure.

```
9
Lattice="4.5055 0.0000 -0.0001 2.2528 3.9018 0.0001 0.0001 -0.0001 4.4209" Properties=species:S:1:pos:R:3 pbc="T T T"
Np 4.5054 -0.0001 4.4208
Zn 4.5054 2.6012 2.2104
H 1.1850 1.9170 0.9496
H 2.2527 0.0677 3.4712
H 3.3204 1.9170 3.4712
H 1.1850 1.9170 3.4712
H 3.3203 1.9170 0.9496
H 2.2526 0.0678 0.9496
Rh 2.2527 1.3006 2.2104
```

Properties
Volume in Å³/cell: 77.7
Raw total energy in eV/atom: -4.709
Density in Mg/m³: 8.79

Entry 2:
## Ac4Sb2TePt (PBE)

Data for a geometry-optimized Ac4Sb2TePt structure.

```
8
Lattice="-0.6050 0.9739 4.5323 3.3428 -7.2553 2.0052 5.8104 5.6197 -0.4318" Properties=species:S:1:pos:R:3 pbc="T T T"
Ac 1.8138 0.1347 2.6243
Ac 6.7344 -0.7964 3.4813
Ac 5.1692 2.4908 0.1549
Ac 3.9841 -4.1264 1.4185
Sb 2.6027 3.2968 2.0502
Sb 4.5766 -0.8178 0.7867
Te 1.3689 -3.1407 3.2687
Pt 0.0000 0.0000 0.0000
```

Properties
E_form (uncorrected) in meV per atom: -1209
Volume in Å³/cell: 293.9
Raw total energy in eV/atom: -5.442
Density in Mg/m³: 8.33

Entry 3:
## CsNa3La (PBE)

Data for a geometry-optimized CsNa3La structure.

```
5
Lattice="5.6526 0.0000 0.0000 0.0000 5.6526 0.0000 0.0000 0.0000 5.6526" Properties=species:S:1:pos:R:3 pbc="T T T"
Cs 0.0000 0.0000 0.0000
Na 0.0000 2.8263 0.0000
Na 0.0000 0.0000 2.8263
Na 2.8263 0.0000 0.0000
La 2.8263 2.8263 2.8263
```

Properties
Volume in Å³/cell: 180.6
Raw total energy in eV/atom: -1.011
Density in Mg/m³: 3.13

raw total energy of number 2 (Ac4Sb2TePt)?
-5.442 eV/atom

Which of these has the lowest density?
CsNa3La

Number 3 is which compound?
CsNa3La